VGaSCl2 (PBE, relaxed); ΔE_f (raw) = -680 meV per atom; VASP energy = -4.67 eV/atom; DOS(E_F) = 1.03 states/eV per cell
1.0
4.961 0.000 0.000
0.000 4.961 0.000
0.000 0.000 4.578
V Ga S Cl
1 1 1 2
Direct
0.000 0.000 0.000 V
0.500 0.500 0.500 Ga
0.000 0.000 0.500 S
0.000 0.500 0.000 Cl
0.500 0.000 0.000 Cl